# GGA-PBE Cu7Ag2, optimized geometry
# * ΔE_f: 7 kJ per mole of atoms
# * excess energy over the best structure of this formula in the dataset: 0.031 eV/atom
data_Cu7Ag2
_cell_length_a 8.392
_cell_length_b 3.753
_cell_length_c 7.935
_cell_angle_alpha 90.00
_cell_angle_beta 108.50
_cell_angle_gamma 90.00
_space_group_name_H-M_alt 'C 1 2/m 1'
_space_group_IT_number 12
loop_
_space_group_symop_operation_xyz
'x,y,z'
'-x,-y,-z'
'-x,y,-z'
'x,-y,z'
'x+1/2,y+1/2,z'
'-x+1/2,-y+1/2,-z'
'-x+1/2,y+1/2,-z'
'x+1/2,-y+1/2,z'
loop_
_atom_site_label
_atom_site_fract_x
_atom_site_fract_y
_atom_site_fract_z
Cu1 0.000 0.000 0.000
Cu2 0.002 0.000 0.341
Cu3 0.160 0.500 0.554
Cu4 0.166 0.500 0.888
Ag1 0.167 0.500 0.224